Here is a relaxed structure of HAu2N from the Alexandria database. Energies are from PBE.

Cell: 5.7935 5.7935 5.7935 Å, 90.00 90.00 90.00°
Closest atoms and distances in Å follow each position.
Space group Fm-3m (No. 225)
Inequivalent atoms, fractional coordinates:
H: 0.0000 0.0000 0.0000  8 Au 2.51
Au: 0.2500 0.2500 0.2500  4 H 2.51, 4 N 2.51
N: 0.0000 0.0000 0.5000  8 Au 2.51

Calculated values
- Offset from the most stable computed form: 207 kJ/mol of formula units

=====

Here is a relaxed structure of HAu3N from the Alexandria database. Energies are from PBE.

Cell: 4.3405 4.3405 4.3405 Å, 90.00 90.00 90.00°
Closest atoms and distances in Å follow each position.
Space group Pm-3m (No. 221)
Inequivalent atoms, fractional coordinates:
H: 0.0000 0.0000 0.0000  12 Au 3.07
Au: 0.0000 0.5000 0.5000  2 N 2.17
N: 0.5000 0.5000 0.5000  6 Au 2.17

Calculated values
- Offset from the most stable computed form: 0 kJ/mol of formula units

=====

Here is a relaxed structure of Nb2HAuN from the Alexandria database. Energies are from PBE.

Cell: 5.0820 5.0820 3.1571 Å, 90.00 90.00 90.00°
Closest atoms and distances in Å follow each position.
Space group P4/mmm (No. 123)
Inequivalent atoms, fractional coordinates:
Nb: 0.0000 0.5000 0.0000  2 Au 2.54
H: 0.0000 0.0000 0.5000  2 Au 1.58
Au: 0.0000 0.0000 0.0000  2 H 1.58
N: 0.5000 0.5000 0.5000  8 Nb 2.99, 2 N 3.16

Calculated values
- DFT total energy: -5.373 eV per atom

=====

Here is a relaxed structure of Ni6HAu2N from the Alexandria database. Energies are from PBE.

Cell: 5.3500 5.3500 7.5983 Å, 90.00 90.00 90.00°
Closest atoms and distances in Å follow each position.
Space group I4/mmm (No. 139)
Inequivalent atoms, fractional coordinates:
Ni: 0.0000 0.0000 0.2496  1 H 1.90, 1 N 1.90
Ni: 0.2489 0.2489 0.0000  1 H 1.88, 1 N 1.90
H: 0.0000 0.0000 0.0000  6 Ni 1.88-1.90
Au: 0.0000 0.5000 0.2500  12 Ni 2.67-2.68
N: 0.0000 0.0000 0.5000  6 Ni 1.90

Calculated values
- DFT total energy: -5.289 eV per atom

=====

Here is a relaxed structure of HAu2NO from the Alexandria database. Energies are from PBE.

Cell: 4.7020 4.7020 2.6273 Å, 90.00 90.00 90.00°
Closest atoms and distances in Å follow each position.
Space group P4/mmm (No. 123)
Inequivalent atoms, fractional coordinates:
H: 0.0000 0.0000 0.0000  2 O 1.31
Au: 0.0000 0.5000 0.5000  2 O 2.35, 2 Au 2.63
N: 0.5000 0.5000 0.0000  2 N 2.63, 8 Au 2.69
O: 0.0000 0.0000 0.5000  2 H 1.31

Calculated values
- DFT total energy: -3.658 eV per atom

=====

Here is a relaxed structure of H2AuNO from the Alexandria database. Energies are from PBE.

Cell: 2.8568 2.8568 7.8759 Å, 90.00 90.00 90.00°
Closest atoms and distances in Å follow each position.
Space group P4/mmm (No. 123)
Inequivalent atoms, fractional coordinates:
H: 0.0000 0.5000 0.0000  2 O 1.43
Au: 0.0000 0.0000 0.5000  4 N 2.02
N: 0.5000 0.5000 0.5000  4 Au 2.02
O: 0.5000 0.5000 0.0000  4 H 1.43

Calculated values
- DFT total energy: -4.032 eV per atom

=====

no.,size of the total moment (μB per formula unit)
1,0.00
2,1.00
3,0.52
4,0.00
5,0.00
6,0.00